No. 1
Compound: CsRb2Ga2
Source: Alexandria
Functional: PBE-GGA
Structure: optimized geometry

Results
As for the energy above the most stable polymorph in this dataset: 0.000 eV/atom. The calculation puts the calculated volume at 516.1 Å³/cell. Its theoretical density is 2.85 g cm⁻³. For the formation energy, the calculation gives 0.101 eV per atom.

Lattice parameters (Å, degrees): 9.2873 9.2873 5.9832 90.00 90.00 90.00
Closest atoms and distances in Å follow each position.
Fractional positions:
Cs: 0.0000 0.0000 0.0000  4 Ga 3.88
Cs: 0.5000 0.5000 0.0000  4 Ga 3.88
Rb: 0.1642 0.3358 0.5000  4 Ga 3.88, 1 Rb 4.31
Rb: 0.3358 0.8358 0.5000  4 Ga 3.88, 1 Rb 4.31
Rb: 0.6642 0.1642 0.5000  4 Ga 3.88, 1 Rb 4.31
Rb: 0.8358 0.6642 0.5000  4 Ga 3.88, 1 Rb 4.31
Ga: 0.0929 0.5929 0.0000  1 Ga 2.44
Ga: 0.4071 0.0929 0.0000  1 Ga 2.44
Ga: 0.5929 0.9071 0.0000  1 Ga 2.44
Ga: 0.9071 0.4071 0.0000  1 Ga 2.44

---

No. 2
Compound: Sc12ZnCd4O3
Source: Alexandria
Functional: PBE-GGA
Structure: optimized geometry

Results
The uncorrected formation energy comes out at -0.957 eV per atom. The calculation puts the calculated volume at 390.2 Å³/cell. Its theoretical density is 4.69 g cm⁻³.

Lattice parameters (Å, degrees): 7.9734 7.9734 7.9734 109.47 109.47 109.47
Closest atoms and distances in Å follow each position.
Fractional positions:
Sc: 0.0000 0.2689 0.2689  1 O 2.13
Sc: 0.0000 0.7311 0.7311  1 O 2.13
Sc: 0.2500 0.5000 0.7500  2 O 2.30
Sc: 0.2500 0.7500 0.5000  2 O 2.30
Sc: 0.2689 0.0000 0.2689  1 O 2.13
Sc: 0.2689 0.2689 0.0000  1 O 2.13
Sc: 0.5000 0.2500 0.7500  2 O 2.30
Sc: 0.5000 0.7500 0.2500  2 O 2.30
Sc: 0.7311 0.0000 0.7311  1 O 2.13
Sc: 0.7311 0.7311 0.0000  1 O 2.13
Sc: 0.7500 0.2500 0.5000  2 O 2.30
Sc: 0.7500 0.5000 0.2500  2 O 2.30
Zn: 0.0000 0.0000 0.0000  6 Sc 2.48
Cd: 0.0000 0.0000 0.5000  12 Sc 3.26
Cd: 0.0000 0.5000 0.0000  12 Sc 3.26
Cd: 0.5000 0.0000 0.0000  12 Sc 3.26
Cd: 0.5000 0.5000 0.5000  12 Sc 3.26
O: 0.0000 0.5000 0.5000  6 Sc 2.13-2.30
O: 0.5000 0.0000 0.5000  6 Sc 2.13-2.30
O: 0.5000 0.5000 0.0000  6 Sc 2.13-2.30

---

No. 3
Compound: MgZnCd2Ag5
Source: Alexandria
Functional: PBE-GGA
Structure: optimized geometry

Results
The calculation puts the calculated volume at 352.3 Å³/cell. Its theoretical density is 8.05 g cm⁻³. For the formation energy, the calculation gives -0.015 eV per atom.

Lattice parameters (Å, degrees): 7.7042 7.7042 10.6555 90.00 90.00 146.15
Closest atoms and distances in Å follow each position.
Fractional positions:
Mg: 0.2478 0.7522 0.5000  2 Zn 2.88, 5 Ag 2.90-3.11
Mg: 0.7522 0.2478 0.0000  2 Zn 2.88, 5 Ag 2.90-3.11
Zn: 0.3743 0.6257 0.0067  6 Ag 2.62-2.77, 2 Mg 2.88
Zn: 0.6257 0.3743 0.5067  6 Ag 2.62-2.77, 2 Mg 2.88
Cd: 0.0889 0.9111 0.8979  8 Ag 2.82-2.98
Cd: 0.1369 0.8631 0.1909  8 Ag 2.84-3.06
Cd: 0.8631 0.1369 0.6909  8 Ag 2.84-3.06
Cd: 0.9111 0.0889 0.3979  8 Ag 2.82-2.98
Ag: 0.0637 0.9363 0.6225  2 Zn 2.72, 1 Cd 2.96, 4 Ag 2.98-3.00, 1 Mg 3.01
Ag: 0.2750 0.7250 0.8004  1 Zn 2.64, 2 Ag 2.83, 3 Cd 2.84-2.93
Ag: 0.3351 0.6649 0.2472  1 Zn 2.63, 3 Ag 2.83-2.84
Ag: 0.4405 0.5595 0.5530  4 Ag 2.75-2.98, 1 Zn 2.77, 4 Cd 2.82-2.91, 1 Mg 2.90
Ag: 0.4768 0.5232 0.8063  1 Zn 2.62, 3 Ag 2.75-2.90
Ag: 0.5232 0.4768 0.3063  1 Zn 2.62, 3 Ag 2.75-2.90
Ag: 0.5595 0.4405 0.0530  4 Ag 2.75-2.98, 1 Zn 2.77, 4 Cd 2.82-2.91, 1 Mg 2.90
Ag: 0.6649 0.3351 0.7472  1 Zn 2.63, 3 Ag 2.83-2.84
Ag: 0.7250 0.2750 0.3004  1 Zn 2.64, 2 Ag 2.83, 3 Cd 2.84-2.93
Ag: 0.9363 0.0637 0.1225  2 Zn 2.72, 1 Cd 2.96, 4 Ag 2.98-3.00, 1 Mg 3.01

---

Number 1: total moment 0.000 μB/atom. Number 2: total moment 0.000 μB/atom. Number 3: total moment 0.000 μB/atom.